Entry 1:
VASP calculation (GGA-PBE) on crystalline EuThCo4 at its relaxed geometry.

Cell lengths 5.138, 5.138, 5.138 Å; angles 60.00, 60.00, 60.00 degrees
Site moments in Bohr magnetons follow the coordinates.
Atoms (fractional coordinates):
1 Eu 0.250 0.250 0.250  6.83
2 Co 0.625 0.124 0.625  -1.01
3 Co 0.124 0.625 0.625  -1.01
4 Th 0.000 0.000 0.000  0.35
5 Co 0.625 0.625 0.625  -1.01
6 Co 0.625 0.625 0.124  -1.01

Summary:
energy of formation	-0.05	eV per atom
ρ	10.727	g cm⁻³

***

Entry 2:
VASP calculation (GGA-PBE) on crystalline EuThZnCo at its relaxed geometry.

Cell lengths 5.040, 5.040, 5.040 Å; angles 60.00, 60.00, 60.00 degrees
Site moments in Bohr magnetons follow the coordinates.
Atoms (fractional coordinates):
1 Eu 0.750 0.750 0.750  6.79
2 Th 0.250 0.250 0.250  0.13
3 Zn 0.000 0.000 0.000  0.01
4 Co 0.500 0.500 0.500  -0.62

Summary:
energy of formation	-0.01	eV per atom
ρ	9.324	g cm⁻³

***

Entry 3:
VASP calculation (GGA-PBE) on crystalline EuTiCo4 at its relaxed geometry.

Cell lengths 4.949, 4.949, 4.949 Å; angles 60.00, 60.00, 60.00 degrees
Site moments in Bohr magnetons follow the coordinates.
Atoms (fractional coordinates):
1 Eu 0.250 0.250 0.250  -6.79
2 Co 0.626 0.626 0.626  1.29
3 Co 0.626 0.626 0.122  1.29
4 Co 0.122 0.626 0.626  1.29
5 Co 0.626 0.122 0.626  1.29
6 Ti 0.000 0.000 0.000  -0.94

Summary:
energy of formation	0.00	eV per atom
ρ	8.437	g cm⁻³

***

Entry 4:
VASP calculation (GGA-PBE) on crystalline Eu2TlCo at its relaxed geometry.

Cell lengths 3.567, 3.567, 8.190 Å; angles 90.00, 90.00, 90.00 degrees
Site moments in Bohr magnetons follow the coordinates.
Atoms (fractional coordinates):
1 Tl 0.500 0.500 0.500  0.00
2 Eu 0.000 0.000 0.792  6.90
3 Co 0.500 0.500 0.000  -1.40
4 Eu 0.000 0.000 0.208  6.90

Summary:
energy of formation	-0.03	eV per atom
ρ	9.041	g cm⁻³

***

Entry 5:
VASP calculation (GGA-PBE) on crystalline Eu3TlCo at its relaxed geometry.

Cell lengths 5.400, 5.400, 5.400 Å; angles 90.00, 90.00, 90.00 degrees
Site moments in Bohr magnetons follow the coordinates.
Atoms (fractional coordinates):
1 Eu 0.000 0.000 0.500  6.87
2 Eu 0.000 0.500 0.000  6.87
3 Tl 0.500 0.500 0.500  0.03
4 Co 0.000 0.000 0.000  -0.81
5 Eu 0.500 0.000 0.000  6.87

Summary:
energy of formation	-0.02	eV per atom
ρ	7.586	g cm⁻³

***

Entry 6:
VASP calculation (GGA-PBE) on crystalline EuTmCo at its relaxed geometry.

Cell lengths 3.404, 3.404, 6.821 Å; angles 104.45, 104.45, 90.00 degrees
Site moments in Bohr magnetons follow the coordinates.
Atoms (fractional coordinates):
1 Eu 0.032 0.032 0.064  6.91
2 Tm 0.289 0.289 0.578  0.23
3 Co 0.679 0.679 0.357  -0.87

Summary:
energy of formation	0.00	eV per atom
ρ	8.531	g cm⁻³